Here is a relaxed Rb2NiBiO crystal from Alexandria via LeMat-Bulk. Energies are from PBE with a Hubbard U.

SG: P4/mmm (123)
Energy, eV for the cell shown: -14.5

Unit cell a=6.6330 b=3.4403 c=6.6330 alpha=90.00 beta=90.00 gamma=90.00
With the nearest neighbours (Å) after each atom.
Element x y z (fractional)
Rb1 0.5000 0.0000 0.0000  2 O 3.32, 2 Rb 3.44
Rb2 0.0000 0.0000 0.5000  2 O 3.32, 2 Rb 3.44
Bi1 0.5000 0.5000 0.5000  2 Bi 3.44, 8 Rb 3.74
Ni1 0.0000 0.5000 0.0000  2 O 1.72
O1 0.0000 0.0000 0.0000  2 Ni 1.72